No. 1
The following is a PBE-GGA calculation of a relaxed structure of BiH2Br2, from the Alexandria database.

Cell and atoms, written as CIF:
```
data_BiH2Br2
_chemical_formula_sum 'Bi4 H8 Br8'
_symmetry_space_group_name_H-M 'C 1 2/m 1'
_symmetry_Int_Tables_number 12
_cell_length_a 8.305
_cell_length_b 7.640
_cell_length_c 9.550
_cell_angle_alpha 90.00
_cell_angle_beta 115.59
_cell_angle_gamma 90.00
loop_
_symmetry_equiv_pos_as_xyz
'x,y,z'
'-x,-y,-z'
'-x,y,-z'
'x,-y,z'
'x+1/2,y+1/2,z'
'-x+1/2,-y+1/2,-z'
'-x+1/2,y+1/2,-z'
'x+1/2,-y+1/2,z'
loop_
_atom_site_label
_atom_site_fract_x
_atom_site_fract_y
_atom_site_fract_z
_atom_site_occupancy
Bi1 0.000 0.215 0.000 1
H1 0.201 0.000 0.494 1
H2 0.210 0.500 0.508 1
Br1 0.134 0.250 0.767 1
```

The electronic total energy is -15.75 eV per formula unit.


No. 2
The following is a PBE-GGA calculation of a relaxed structure of SmTc6Ge8, from the Alexandria database.

Cell and atoms, written as CIF:
```
data_SmTc6Ge8
_chemical_formula_sum 'Sm3 Tc18 Ge24'
_symmetry_space_group_name_H-M 'R -3'
_symmetry_Int_Tables_number 148
_symmetry_space_group_name_Hall '-R 3'
_cell_length_a 8.7582
_cell_length_b 8.7582
_cell_length_c 12.5040
_cell_angle_alpha 90.00
_cell_angle_beta 90.00
_cell_angle_gamma 120.00
loop_
_atom_site_label
_atom_site_fract_x
_atom_site_fract_y
_atom_site_fract_z
_atom_site_occupancy
Sm1 0.0000 0.0000 0.0000 1
Tc1 0.0028 0.1771 0.4072 1
Ge1 0.0000 0.0000 0.2385 1
Ge2 0.0042 0.6559 0.4318 1
```

The value obtained for the energy of formation is -0.03 eV per atom.


No. 3
The following is a PBE-GGA calculation of a relaxed structure of SmScIn2, from the Alexandria database.

Cell and atoms, written as CIF:
```
data_SmScIn2
_chemical_formula_sum 'Sm1 Sc1 In2'
_symmetry_space_group_name_H-M 'P 4/m m m'
_symmetry_Int_Tables_number 123
_symmetry_space_group_name_Hall '-P 4 2'
_cell_length_a 3.676
_cell_length_b 3.676
_cell_length_c 7.466
_cell_angle_alpha 90.00
_cell_angle_beta 90.00
_cell_angle_gamma 90.00
loop_
_atom_site_label
_atom_site_fract_x
_atom_site_fract_y
_atom_site_fract_z
_atom_site_occupancy
Sm1 0.000 0.000 0.000 1
Sc1 0.000 0.000 0.500 1
In1 0.500 0.500 0.274 1
```

The value obtained for the energy of formation is -0.45 eV per atom.


No. 4
The following is a PBE-GGA calculation of a relaxed structure of Ag6Hg2Pd, from the Alexandria database.

Cell and atoms, written as CIF:
```
data_Ag6Hg2Pd
_chemical_formula_sum 'Ag24 Hg8 Pd4'
_symmetry_space_group_name_H-M 'C 1 2/c 1'
_symmetry_Int_Tables_number 15
_cell_length_a 10.638
_cell_length_b 10.080
_cell_length_c 7.613
_cell_angle_alpha 90.00
_cell_angle_beta 124.18
_cell_angle_gamma 90.00
loop_
_symmetry_equiv_pos_as_xyz
'x,y,z'
'-x,-y,-z'
'-x,y,-z+1/2'
'x,-y,z+1/2'
'x+1/2,y+1/2,z'
'-x+1/2,-y+1/2,-z'
'-x+1/2,y+1/2,-z+1/2'
'x+1/2,-y+1/2,z+1/2'
loop_
_atom_site_label
_atom_site_fract_x
_atom_site_fract_y
_atom_site_fract_z
_atom_site_occupancy
Ag1 0.045 0.132 0.469 1
Ag2 0.102 0.398 0.186 1
Ag3 0.225 0.356 0.631 1
Hg1 0.181 0.111 0.929 1
Pd1 0.000 0.347 0.750 1
```

As for the distance to the lowest polymorph of the same formula: 0.065 eV per formula unit. The value obtained for the energy of formation is 0.04 eV per atom.


No. 5
The following is a PBE-GGA calculation of a relaxed structure of TbPm2Ni3, from the Alexandria database.

Cell and atoms, written as CIF:
```
data_TbPm2Ni3
_chemical_formula_sum 'Tb1 Pm2 Ni3'
_symmetry_space_group_name_H-M 'P 4/m m m'
_symmetry_Int_Tables_number 123
_symmetry_space_group_name_Hall '-P 4 2'
_cell_length_a 3.442
_cell_length_b 3.442
_cell_length_c 10.321
_cell_angle_alpha 90.00
_cell_angle_beta 90.00
_cell_angle_gamma 90.00
loop_
_atom_site_label
_atom_site_fract_x
_atom_site_fract_y
_atom_site_fract_z
_atom_site_occupancy
Tb1 0.000 0.000 0.000 1
Pm1 0.000 0.000 0.331 1
Ni1 0.500 0.500 0.158 1
Ni2 0.500 0.500 0.500 1
```

The value obtained for the energy of formation is -0.29 eV per atom.


No. 6
The following is a PBE-GGA calculation of a relaxed structure of SbPbSe2, from the Alexandria database.

Cell and atoms, written as CIF:
```
data_SbPbSe2
_chemical_formula_sum 'Sb2 Pb2 Se4'
_symmetry_space_group_name_H-M 'I m m m'
_symmetry_Int_Tables_number 71
_symmetry_space_group_name_Hall '-I 2 2'
_cell_length_a 4.259
_cell_length_b 6.297
_cell_length_c 8.255
_cell_angle_alpha 90.00
_cell_angle_beta 90.00
_cell_angle_gamma 90.00
loop_
_atom_site_label
_atom_site_fract_x
_atom_site_fract_y
_atom_site_fract_z
_atom_site_occupancy
Sb1 0.000 0.000 0.000 1
Pb1 0.000 0.000 0.500 1
Se1 0.000 0.500 0.272 1
```

For the uncorrected formation energy, the calculation gives -0.11 eV/atom.


No. 7
The following is a PBE-GGA calculation of a relaxed structure of Er2CuHg3, from the Alexandria database.

Cell and atoms, written as CIF:
```
data_Er2CuHg3
_chemical_formula_sum 'Er2 Cu1 Hg3'
_symmetry_space_group_name_H-M 'P m m 2'
_symmetry_Int_Tables_number 25
_cell_length_a 3.435
_cell_length_b 4.744
_cell_length_c 8.304
_cell_angle_alpha 90.00
_cell_angle_beta 90.00
_cell_angle_gamma 90.00
loop_
_symmetry_equiv_pos_as_xyz
'x,y,z'
'-x,-y,z'
'-x,y,z'
'x,-y,z'
loop_
_atom_site_label
_atom_site_fract_x
_atom_site_fract_y
_atom_site_fract_z
_atom_site_occupancy
Er1 0.000 0.000 0.000 1
Er2 0.000 0.500 0.471 1
Cu1 0.500 0.000 0.308 1
Hg1 0.500 0.000 0.627 1
Hg2 0.500 0.500 0.162 1
Hg3 0.500 0.500 0.817 1
```

The value obtained for the energy of formation is -0.34 eV per atom.


No. 8
The following is a PBE-GGA calculation of a relaxed structure of Pr2NdPuS4, from the Alexandria database.

Cell and atoms, written as CIF:
```
data_Pr2NdPuS4
_chemical_formula_sum 'Pr2 Nd1 Pu1 S4'
_symmetry_space_group_name_H-M 'P 1 2/m 1'
_symmetry_Int_Tables_number 10
_cell_length_a 7.039
_cell_length_b 4.046
_cell_length_c 7.049
_cell_angle_alpha 90.00
_cell_angle_beta 109.25
_cell_angle_gamma 90.00
loop_
_symmetry_equiv_pos_as_xyz
'x,y,z'
'-x,-y,-z'
'-x,y,-z'
'x,-y,z'
loop_
_atom_site_label
_atom_site_fract_x
_atom_site_fract_y
_atom_site_fract_z
_atom_site_occupancy
Pr1 0.000 0.000 0.000 1
Pr2 0.500 0.500 0.000 1
Nd1 0.000 0.500 0.500 1
Pu1 0.500 0.000 0.500 1
S1 0.252 0.000 0.744 1
S2 0.258 0.500 0.260 1
```

For the uncorrected formation energy, the calculation gives -1.97 eV/atom.


No. 9
The following is a PBE-GGA calculation of a relaxed structure of Th3Mg4Cd4, from the Alexandria database.

Cell and atoms, written as CIF:
```
data_Th3Mg4Cd4
_chemical_formula_sum 'Th3 Mg4 Cd4'
_symmetry_space_group_name_H-M 'P -1'
_symmetry_Int_Tables_number 2
_cell_length_a 3.388
_cell_length_b 5.140
_cell_length_c 16.219
_cell_angle_alpha 99.10
_cell_angle_beta 95.98
_cell_angle_gamma 90.03
loop_
_symmetry_equiv_pos_as_xyz
'x,y,z'
'-x,-y,-z'
loop_
_atom_site_label
_atom_site_fract_x
_atom_site_fract_y
_atom_site_fract_z
_atom_site_occupancy
Th1 0.000 0.000 0.000 1
Th2 0.141 0.640 0.281 1
Mg1 0.263 0.263 0.527 1
Mg2 0.406 0.908 0.814 1
Cd1 0.314 0.815 0.629 1
Cd2 0.452 0.453 0.905 1
```

As for the distance to the lowest polymorph of the same formula: 0.000 eV per formula unit. The value obtained for the energy of formation is -0.11 eV per atom.


No. 10
The following is a PBE-GGA calculation of a relaxed structure of Tb2Pm3Pb4, from the Alexandria database.

Cell and atoms, written as CIF:
```
data_Tb2Pm3Pb4
_chemical_formula_sum 'Tb4 Pm6 Pb8'
_symmetry_space_group_name_H-M 'C 1 2/m 1'
_symmetry_Int_Tables_number 12
_cell_length_a 11.626
_cell_length_b 4.923
_cell_length_c 10.140
_cell_angle_alpha 90.00
_cell_angle_beta 95.36
_cell_angle_gamma 90.00
loop_
_symmetry_equiv_pos_as_xyz
'x,y,z'
'-x,-y,-z'
'-x,y,-z'
'x,-y,z'
'x+1/2,y+1/2,z'
'-x+1/2,-y+1/2,-z'
'-x+1/2,y+1/2,-z'
'x+1/2,-y+1/2,z'
loop_
_atom_site_label
_atom_site_fract_x
_atom_site_fract_y
_atom_site_fract_z
_atom_site_occupancy
Tb1 0.181 0.000 0.305 1
Pm1 0.000 0.500 0.500 1
Pm2 0.130 0.000 0.919 1
Pb1 0.083 0.500 0.138 1
Pb2 0.151 0.000 0.612 1
```

As for the distance to the lowest polymorph of the same formula: 0.416 eV per formula unit. The value obtained for the energy of formation is -0.43 eV per atom.


No. 11
The following is a PBE-GGA calculation of a relaxed structure of Er4Cu2Au, from the Alexandria database.

Cell and atoms, written as CIF:
```
data_Er4Cu2Au
_chemical_formula_sum 'Er12 Cu6 Au3'
_symmetry_space_group_name_H-M 'R -3 m'
_symmetry_Int_Tables_number 166
_symmetry_space_group_name_Hall '-R 3 2"'
_cell_length_a 4.8893
_cell_length_b 4.8893
_cell_length_c 23.9070
_cell_angle_alpha 90.00
_cell_angle_beta 90.00
_cell_angle_gamma 120.00
loop_
_atom_site_label
_atom_site_fract_x
_atom_site_fract_y
_atom_site_fract_z
_atom_site_occupancy
Er1 0.0000 0.0000 0.1217 1
Er2 0.0000 0.0000 0.3725 1
Cu1 0.0000 0.0000 0.2516 1
Au1 0.0000 0.0000 0.5000 1
```

As for the distance to the lowest polymorph of the same formula: 0.135 eV per formula unit. The value obtained for the energy of formation is -0.32 eV per atom.


No. 12
The following is a PBE-GGA calculation of a relaxed structure of Tm6Mg5Zn, from the Alexandria database.

Cell and atoms, written as CIF:
```
data_Tm6Mg5Zn
_chemical_formula_sum 'Tm12 Mg10 Zn2'
_symmetry_space_group_name_H-M 'C m m m'
_symmetry_Int_Tables_number 65
_symmetry_space_group_name_Hall '-C 2 2'
_cell_length_a 5.255
_cell_length_b 15.800
_cell_length_c 7.394
_cell_angle_alpha 90.00
_cell_angle_beta 90.00
_cell_angle_gamma 90.00
loop_
_atom_site_label
_atom_site_fract_x
_atom_site_fract_y
_atom_site_fract_z
_atom_site_occupancy
Tm1 0.000 0.000 0.239 1
Tm2 0.000 0.339 0.244 1
Mg1 0.000 0.169 0.500 1
Mg2 0.000 0.173 0.000 1
Mg3 0.000 0.500 0.500 1
Zn1 0.000 0.500 0.000 1
```

The value obtained for the energy of formation is -0.10 eV per atom.


Ordered M_tot results: 0.0; 0.0; 0.0; 0.0; 0.0; 0.0; 0.0; 5.7; 0.0; 1.1; 0.0; 0.0; unit μB/f.u..